No. 1
Below is crystalline Nd3SmPb4 at its relaxed geometry, with properties calculated at the PBE level.

Summary:
As for the crystal system: monoclinic. The total energy comes out at -4.74 eV per atom. As for the density of states at the Fermi level: 1.00 states/eV per atom. The calculation puts the magnetization at 0.009 μB/atom. As for the symmetry: C2/m.

Cell and atoms, written as POSCAR:
```
Nd3SmPb4
1.0
9.4864 -2.5629 0.0000
9.4864 2.5629 0.0000
-1.3723 0.0000 4.9394
Nd Sm Pb
3 1 4
direct
0.0000 0.0000 0.0000
0.2500 0.2500 0.2500
0.7500 0.7500 0.7500
0.5000 0.5000 0.5000
0.1243 0.1243 0.6244
0.3757 0.3757 0.8757
0.6243 0.6243 0.1243
0.8757 0.8757 0.3756
```

***

No. 2
Below is crystalline Si2AsOs at its relaxed geometry, with properties calculated at the PBE level.

Summary:
As for the crystal system: monoclinic. The total energy comes out at -6.62 eV per atom. As for the density of states at the Fermi level: 0.63 states/eV per atom. The calculation puts the magnetization at 0.000 μB/atom. The calculation puts the formation energy from raw total energies at 0.25 eV/f.u. As for the symmetry: Cm.

Cell and atoms, written as POSCAR:
```
Si2AsOs
1.0
4.2695 -1.4752 0.0000
4.2695 1.4752 0.0000
-1.7730 0.0000 5.4707
Si As Os
2 1 1
direct
0.0000 0.0000 0.0000
0.1480 0.1480 0.6315
0.3448 0.3448 0.3831
0.7196 0.7196 0.9970
```

***

No. 3
Below is crystalline SiHgW3 at its relaxed geometry, with properties calculated at the PBE level.

Summary:
As for the crystal system: cubic. The total energy comes out at -7.52 eV per atom. As for the density of states at the Fermi level: 1.44 states/eV per atom. The calculation puts the magnetization at 0.000 μB/atom. The calculation puts the formation energy from raw total energies at 7.00 eV/f.u. The energy relative to the lowest polymorph listed for this composition is 0 meV per atom. As for the symmetry: Pm-3m.

Cell and atoms, written as POSCAR:
```
SiHgW3
1.0
4.5356 0.0000 0.0000
0.0000 4.5356 0.0000
0.0000 0.0000 4.5356
Si Hg W
1 1 3
direct
0.0000 0.0000 0.0000
0.5000 0.5000 0.5000
0.0000 0.0000 0.5000
0.0000 0.5000 0.0000
0.5000 0.0000 0.0000
```

***

No. 4
Below is crystalline Tl2AgIr at its relaxed geometry, with properties calculated at the PBE level.

Summary:
As for the crystal system: tetragonal. The total energy comes out at -3.68 eV per atom. As for the density of states at the Fermi level: 0.37 states/eV per atom. The calculation puts the magnetization at 0.000 μB/atom. The energy relative to the lowest polymorph listed for this composition is 115 meV per atom. As for the symmetry: I-4m2.

Cell and atoms, written as POSCAR:
```
Tl2AgIr
1.0
-2.0600 2.0600 4.7314
2.0600 -2.0600 4.7314
2.0600 2.0600 -4.7314
Tl Ag Ir
2 1 1
direct
0.0000 0.0000 0.0000
0.7500 0.2500 0.5000
0.2500 0.7500 0.5000
0.5000 0.5000 0.0000
```